# NaV6S8 SCAN single point on PBEsol structure
# - raw total energy (eV/cell) = -203.50
# - D(E_F) (states/eV per cell) = 4.98
data_NaV6S8
_chemical_formula_sum 'Na1 V6 S8'
_cell_length_a 8.9683
_cell_length_b 8.9683
_cell_length_c 3.2042
_cell_angle_alpha 90.00
_cell_angle_beta 90.00
_cell_angle_gamma 120.00
_symmetry_space_group_name_H-M 'P -3'
_symmetry_Int_Tables_number 147
loop_
_symmetry_equiv_pos_as_xyz
'x,y,z'
'-x,-y,-z'
'-y,x-y,z'
'y,-x+y,-z'
'-x+y,-x,z'
'x-y,x,-z'
loop_
_atom_site_label
_atom_site_fract_x
_atom_site_fract_y
_atom_site_fract_z
_atom_site_occupancy
Na1 0.0000 0.0000 0.0000 1
V1 0.1151 0.6251 0.7510 1
S1 0.0527 0.3422 0.7479 1
S2 0.3333 0.6667 0.2507 1